# 1
First-principles (PBE) data for crystalline NdAlTe2 at its relaxed geometry, as listed in Alexandria.

The uncorrected formation energy comes out at -1.40 eV per formula unit.

It has space group R-3m (No. 166, hexagonal axes), with a = 4.0406 Å, b = 4.0406 Å, c = 28.0530 Å, α = 90.00°, β = 90.00° and γ = 120.00°. The inequivalent atoms are Nd at (0.0000, 0.0000, 0.0000), Al at (0.0000, 0.0000, 0.5000) and Te at (0.0000, 0.0000, 0.1109).

# 2
First-principles (PBE) data for crystalline Nd2AlTe5 at its relaxed geometry, as listed in Alexandria.

The uncorrected formation energy comes out at -6.71 eV per formula unit.

It has space group Cmcm (No. 63), with a = 6.209 Å, b = 15.029 Å, c = 13.489 Å, α = 90.00°, β = 90.00° and γ = 90.00°. The inequivalent atoms are Nd at (0.000, 0.167, 0.073), Al at (0.000, 0.183, 0.750), Te at (0.000, 0.037, 0.615), Te at (0.000, 0.303, 0.250) and Te at (0.000, 0.308, 0.602).

# 3
First-principles (PBE) data for crystalline Nd4AlTe3 at its relaxed geometry, as listed in Alexandria.

The uncorrected formation energy comes out at -9.26 eV per formula unit.

It has space group Cmmm (No. 65), with a = 9.082 Å, b = 12.689 Å, c = 4.429 Å, α = 90.00°, β = 90.00° and γ = 90.00°. The inequivalent atoms are Nd at (0.000, 0.241, 0.000), Nd at (0.239, 0.000, 0.500), Al at (0.000, 0.000, 0.000), Te at (0.000, 0.500, 0.000) and Te at (0.250, 0.250, 0.500).

# 4
First-principles (PBE) data for crystalline Nd3AlTl4Te8 at its relaxed geometry, as listed in Alexandria.

The uncorrected formation energy comes out at -13.64 eV per formula unit.

It has space group R-3m (No. 166, hexagonal axes), with a = 8.9970 Å, b = 8.9970 Å, c = 24.3943 Å, α = 90.00°, β = 90.00° and γ = 120.00°. The inequivalent atoms are Nd at (0.0000, 0.5000, 0.0000), Al at (0.0000, 0.0000, 0.0000), Tl at (0.0000, 0.0000, 0.5000), Tl at (0.0000, 0.5000, 0.5000), Te at (0.0000, 0.0000, 0.2587) and Te at (0.0264, 0.5132, 0.7357).

# 5
First-principles (PBE) data for crystalline Nd3AlTl3Te8 at its relaxed geometry, as listed in Alexandria.

The uncorrected formation energy comes out at -12.75 eV per formula unit.

It has space group C2/m (No. 12), with a = 15.529 Å, b = 8.965 Å, c = 9.621 Å, α = 90.00°, β = 122.50° and γ = 90.00°. The inequivalent atoms are Nd at (0.000, 0.000, 0.000), Nd at (0.250, 0.250, 0.000), Al at (0.000, 0.500, 0.000), Tl at (0.000, 0.500, 0.500), Tl at (0.250, 0.250, 0.500), Te at (0.007, 0.273, 0.796), Te at (0.219, 0.500, 0.204) and Te at (0.241, 0.000, 0.225).

# 6
First-principles (PBE) data for crystalline Nd2ThAl9 at its relaxed geometry, as listed in Alexandria.

As for the energy of formation: -0.37 eV per atom.

It has space group R-3m (No. 166, hexagonal axes), with a = 5.6490 Å, b = 5.6490 Å, c = 26.7303 Å, α = 90.00°, β = 90.00° and γ = 120.00°. The inequivalent atoms are Nd at (0.0000, 0.0000, 0.1403), Th at (0.0000, 0.0000, 0.0000), Al at (0.0000, 0.0000, 0.3346), Al at (0.0000, 0.0000, 0.5000) and Al at (0.0059, 0.5029, 0.9181).

# 7
First-principles (PBE) data for crystalline NdTh2Al6 at its relaxed geometry, as listed in Alexandria.

As for the energy of formation: -0.46 eV per atom.

It has space group P6/mmm (No. 191), with a = 7.6553 Å, b = 7.6553 Å, c = 4.1799 Å, α = 90.00°, β = 90.00° and γ = 120.00°. The inequivalent atoms are Nd at (0.0000, 0.0000, 0.0000), Th at (0.3333, 0.6667, 0.0000) and Al at (0.0000, 0.3339, 0.5000).

# 8
First-principles (PBE) data for crystalline Nd2ThAl at its relaxed geometry, as listed in Alexandria.

As for the energy of formation: -0.14 eV per atom. The value obtained for the distance to the lowest polymorph of the same formula is 0.0 meV/atom.

It has space group P4/mmm (No. 123), with a = 3.627 Å, b = 3.627 Å, c = 8.967 Å, α = 90.00°, β = 90.00° and γ = 90.00°. The inequivalent atoms are Nd at (0.000, 0.000, 0.221), Th at (0.500, 0.500, 0.500) and Al at (0.500, 0.500, 0.000).

# 9
First-principles (PBE) data for crystalline Nd2ThAl4 at its relaxed geometry, as listed in Alexandria.

As for the energy of formation: -0.40 eV per atom.

It has space group Immm (No. 71), with a = 4.322 Å, b = 4.346 Å, c = 19.386 Å, α = 90.00°, β = 90.00° and γ = 90.00°. The inequivalent atoms are Nd at (0.000, 0.000, 0.186), Th at (0.000, 0.500, 0.500), Al at (0.000, 0.000, 0.361) and Al at (0.000, 0.500, 0.065).

# 10
First-principles (PBE) data for crystalline NdThAl2 at its relaxed geometry, as listed in Alexandria.

As for the energy of formation: -0.05 eV per atom. The value obtained for the distance to the lowest polymorph of the same formula is 232.6 meV/atom.

It has space group R-3m (No. 166, hexagonal axes), with a = 3.7303 Å, b = 3.7303 Å, c = 27.8419 Å, α = 90.00°, β = 90.00° and γ = 120.00°. The inequivalent atoms are Nd at (0.0000, 0.0000, 0.0000), Th at (0.0000, 0.0000, 0.5000) and Al at (0.0000, 0.0000, 0.2502).

# 11
First-principles (PBE) data for crystalline NdThAl2 at its relaxed geometry, as listed in Alexandria.

As for the energy of formation: -0.24 eV per atom. The value obtained for the distance to the lowest polymorph of the same formula is 40.8 meV/atom.

It has space group Fm-3m (No. 225), with a = 7.458 Å, b = 7.458 Å, c = 7.458 Å, α = 90.00°, β = 90.00° and γ = 90.00°. The inequivalent atoms are Nd at (0.000, 0.000, 0.000), Th at (0.000, 0.000, 0.500) and Al at (0.250, 0.250, 0.250).

# 12
First-principles (PBE) data for crystalline NdThAl at its relaxed geometry, as listed in Alexandria.

As for the energy of formation: -0.02 eV per atom. The value obtained for the distance to the lowest polymorph of the same formula is 110.3 meV/atom.

It has space group Pmma (No. 51), with a = 6.018 Å, b = 3.359 Å, c = 8.368 Å, α = 90.00°, β = 90.00° and γ = 90.00°. The inequivalent atoms are Nd at (0.000, 0.000, 0.000), Th at (0.250, 0.000, 0.380) and Al at (0.250, 0.500, 0.709).

# 13
First-principles (PBE) data for crystalline NdThAl3 at its relaxed geometry, as listed in Alexandria.

As for the energy of formation: -0.39 eV per atom.

It has space group Cmcm (No. 63), with a = 4.273 Å, b = 27.104 Å, c = 4.342 Å, α = 90.00°, β = 90.00° and γ = 90.00°. The inequivalent atoms are Nd at (0.000, 0.072, 0.250), Th at (0.000, 0.207, 0.750), Al at (0.000, 0.328, 0.750), Al at (0.000, 0.382, 0.250) and Al at (0.000, 0.476, 0.250).

# 14
First-principles (PBE) data for crystalline NdTh3Al8 at its relaxed geometry, as listed in Alexandria.

As for the energy of formation: -0.43 eV per atom.

It has space group R3m (No. 160, hexagonal axes), with a = 5.7062 Å, b = 5.7062 Å, c = 27.8373 Å, α = 90.00°, β = 90.00° and γ = 120.00°. The inequivalent atoms are Nd at (0.0000, 0.0000, 0.0000), Th at (0.0000, 0.0000, 0.3749), Th at (0.0000, 0.0000, 0.4999), Th at (0.0000, 0.0000, 0.8747), Al at (0.0000, 0.0000, 0.1877), Al at (0.0000, 0.0000, 0.6874), Al at (0.0009, 0.5005, 0.4375) and Al at (0.0006, 0.5003, 0.9371).

# 15
First-principles (PBE) data for crystalline Nd2ThAl at its relaxed geometry, as listed in Alexandria.

As for the energy of formation: 0.07 eV per atom. The value obtained for the distance to the lowest polymorph of the same formula is 204.5 meV/atom.

It has space group Fm-3m (No. 225), with a = 7.765 Å, b = 7.765 Å, c = 7.765 Å, α = 90.00°, β = 90.00° and γ = 90.00°. The inequivalent atoms are Nd at (0.250, 0.250, 0.250), Th at (0.000, 0.000, 0.000) and Al at (0.000, 0.000, 0.500).

# 16
First-principles (PBE) data for crystalline NdThAl at its relaxed geometry, as listed in Alexandria.

As for the energy of formation: 0.09 eV per atom. The value obtained for the distance to the lowest polymorph of the same formula is 214.9 meV/atom.

It has space group P3m1 (No. 156), with a = 5.3689 Å, b = 5.3689 Å, c = 3.2096 Å, α = 90.00°, β = 90.00° and γ = 120.00°. The inequivalent atoms are Nd at (0.0000, 0.0000, 0.0000), Th at (0.3333, 0.6667, 0.9894) and Al at (0.6667, 0.3333, 0.4927).

# 17
First-principles (PBE) data for crystalline NdTh2Al9 at its relaxed geometry, as listed in Alexandria.

As for the energy of formation: -0.33 eV per atom.

It has space group R-3m (No. 166, hexagonal axes), with a = 5.6851 Å, b = 5.6851 Å, c = 26.6505 Å, α = 90.00°, β = 90.00° and γ = 120.00°. The inequivalent atoms are Nd at (0.0000, 0.0000, 0.0000), Th at (0.0000, 0.0000, 0.1424), Al at (0.0000, 0.0000, 0.3352), Al at (0.0000, 0.0000, 0.5000) and Al at (0.0069, 0.5035, 0.9171).

# 18
First-principles (PBE) data for crystalline NdThAl6 at its relaxed geometry, as listed in Alexandria.

As for the energy of formation: -0.43 eV per atom.

It has space group P-6m2 (No. 187), with a = 6.4900 Å, b = 6.4900 Å, c = 4.6583 Å, α = 90.00°, β = 90.00° and γ = 120.00°. The inequivalent atoms are Nd at (0.0000, 0.0000, 0.0000), Th at (0.6667, 0.3333, 0.5000), Al at (0.0523, 0.5262, 0.0000) and Al at (0.1921, 0.3843, 0.5000).

# 19
First-principles (PBE) data for crystalline NdThAl2 at its relaxed geometry, as listed in Alexandria.

As for the energy of formation: -0.28 eV per atom. The value obtained for the distance to the lowest polymorph of the same formula is 0.0 meV/atom.

It has space group P4/mmm (No. 123), with a = 3.461 Å, b = 3.461 Å, c = 8.567 Å, α = 90.00°, β = 90.00° and γ = 90.00°. The inequivalent atoms are Nd at (0.000, 0.000, 0.000), Th at (0.000, 0.000, 0.500) and Al at (0.500, 0.500, 0.250).

# 20
First-principles (PBE) data for crystalline NdThAl at its relaxed geometry, as listed in Alexandria.

As for the energy of formation: -0.13 eV per atom. The value obtained for the distance to the lowest polymorph of the same formula is 0.0 meV/atom.

It has space group I4mm (No. 107), with a = 3.456 Å, b = 3.456 Å, c = 14.364 Å, α = 90.00°, β = 90.00° and γ = 90.00°. The inequivalent atoms are Nd at (0.000, 0.000, 0.000), Th at (0.000, 0.000, 0.292) and Al at (0.000, 0.000, 0.646).

# 21
First-principles (PBE) data for crystalline Nd7ThAl4 at its relaxed geometry, as listed in Alexandria.

As for the energy of formation: -0.02 eV per atom.

It has space group C2/m (No. 12), with a = 14.093 Å, b = 5.797 Å, c = 10.617 Å, α = 90.00°, β = 124.21° and γ = 90.00°. The inequivalent atoms are Nd at (0.000, 0.000, 0.000), Nd at (0.065, 0.500, 0.386), Nd at (0.206, 0.500, 0.884), Nd at (0.208, 0.000, 0.651), Th at (0.000, 0.500, 0.000), Al at (0.049, 0.000, 0.753) and Al at (0.177, 0.000, 0.333).

# 22
First-principles (PBE) data for crystalline Nd2ThAl at its relaxed geometry, as listed in Alexandria.

As for the energy of formation: -0.13 eV per atom. The value obtained for the distance to the lowest polymorph of the same formula is 12.2 meV/atom.

It has space group P4/mmm (No. 123), with a = 4.880 Å, b = 4.880 Å, c = 4.896 Å, α = 90.00°, β = 90.00° and γ = 90.00°. The inequivalent atoms are Nd at (0.000, 0.500, 0.000), Th at (0.000, 0.000, 0.500) and Al at (0.500, 0.500, 0.500).

# 23
First-principles (PBE) data for crystalline NdYThAl at its relaxed geometry, as listed in Alexandria.

As for the energy of formation: 0.01 eV per atom.

It has space group F-43m (No. 216), with a = 7.714 Å, b = 7.714 Å, c = 7.714 Å, α = 90.00°, β = 90.00° and γ = 90.00°. The inequivalent atoms are Nd at (0.000, 0.000, 0.000), Y at (0.250, 0.250, 0.750), Th at (0.000, 0.000, 0.500) and Al at (0.250, 0.250, 0.250).

# 24
First-principles (PBE) data for crystalline NdThAl2Zn2 at its relaxed geometry, as listed in Alexandria.

As for the energy of formation: -0.39 eV per atom.

It has space group P-3m1 (No. 164), with a = 4.5267 Å, b = 4.5267 Å, c = 7.6771 Å, α = 90.00°, β = 90.00° and γ = 120.00°. The inequivalent atoms are Nd at (0.0000, 0.0000, 0.0000), Th at (0.0000, 0.0000, 0.5000), Al at (0.3333, 0.6667, 0.7466) and Zn at (0.3333, 0.6667, 0.2537).

# 25
First-principles (PBE) data for crystalline NdTiAl at its relaxed geometry, as listed in Alexandria.

As for the energy of formation: 0.15 eV per atom.

It has space group P-6m2 (No. 187), with a = 3.1988 Å, b = 3.1988 Å, c = 15.2151 Å, α = 90.00°, β = 90.00° and γ = 120.00°. The inequivalent atoms are Nd at (0.0000, 0.0000, 0.1824), Ti at (0.3333, 0.6667, 0.3580), Al at (0.0000, 0.0000, 0.5000) and Al at (0.3333, 0.6667, 0.0000).